Entry 1:
GGA-PBE Dy4YCuS8, relaxed; raw formation energy = -1.814 eV/atom
1.0
3.9608 2.2868 6.4694
-3.9608 2.2868 6.4694
0.0000 -4.5735 6.4694
Dy Y Cu S
4 1 1 8
Cartesian
0.0000 0.0000 0.0000
0.0000 -2.1997 10.4797
-1.9050 1.0999 10.4797
1.9050 1.0999 10.4797
0.0000 0.0000 7.3689
0.0000 0.0000 14.5394
-1.9569 -1.1298 8.9078
0.0000 0.0000 2.5990
0.0000 -2.1244 5.5997
-1.8398 1.0622 5.5997
1.8398 1.0622 5.5997
0.0000 0.0000 12.0962
1.9569 -1.1298 8.9078
0.0000 2.2596 8.9078

=====

Entry 2:
GGA-PBE SrLaPt2O, relaxed; raw formation energy = 0.587 eV/atom; N(E_F) = 11.0 states/eV per cell
1.0
5.0514 0.0000 0.0000
0.0000 5.0514 0.0000
0.0000 0.0000 10.3606
Sr La Pt O
1 1 2 1
Cartesian
0.0000 0.0000 0.0000
0.0000 0.0000 5.1803
0.0000 2.5257 5.1803
2.5257 0.0000 5.1803
2.5257 2.5257 0.0000

=====

Entry 3:
GGA-PBE Nd4GaTc, relaxed; E_form = -0.180 eV/atom; N(E_F) = 12.1 states/eV per cell
1.0
4.5431 -6.7720 0.0000
4.5431 6.7720 0.0000
-3.0149 0.0000 5.6314
Nd Ga Tc
8 2 2
Cartesian
0.6949 4.3997 5.1872
0.5655 0.9515 3.8530
3.8689 4.3997 3.2599
2.0730 -0.9515 1.0373
3.9983 0.9515 4.5941
2.2024 -4.3997 2.3715
5.5058 -0.9515 1.7784
5.3764 -4.3997 0.4442
3.7894 1.7052 1.4079
2.2819 -1.7052 4.2236
3.7894 6.7541 1.4079
2.2819 -6.7541 4.2236

=====

Entry 4:
GGA-PBE YZn2FeH, relaxed; calculated total energy = -2.63 eV per atom; N(E_F) = 4.5 states/eV per cell
1.0
5.8265 0.0000 0.0000
0.0000 5.8265 0.0000
0.0000 0.0000 5.0336
Y Zn Fe H
1 2 1 1
Cartesian
0.0000 0.0000 0.0000
0.0000 2.9133 0.0000
2.9133 0.0000 0.0000
0.0000 0.0000 2.5168
2.9133 2.9133 2.5168

=====

Entry 5:
GGA-PBE CsLi4Pm3I12, relaxed; raw formation energy = -1.216 eV/atom; N(E_F) = 9.8 states/eV per cell
1.0
8.5066 4.9113 3.5775
-8.5066 4.9113 3.5775
0.0000 -9.8226 3.5775
Cs Li Pm I
1 4 3 12
Cartesian
0.0000 0.0000 0.0000
-3.4902 -6.0452 5.3663
0.0000 0.0000 5.3663
-3.4902 6.0452 5.3663
6.9804 0.0000 5.3663
-4.9523 -1.2450 3.5775
-4.9523 1.2450 7.1551
1.3979 4.9113 3.5775
-5.0484 -3.8382 5.3574
-7.2389 0.0000 5.3663
-0.7998 -6.2912 5.3753
-5.0484 3.8382 5.3753
-2.6654 0.0000 5.3663
3.6195 -6.2691 5.3663
1.3327 -2.3083 5.3663
1.3327 2.3083 5.3663
-0.7998 6.2912 5.3574
5.8482 -2.4529 5.3574
3.6195 6.2691 5.3663
5.8482 2.4529 5.3753

=====

Entry 6:
GGA-PBE EuTmO3, relaxed; raw formation energy = -3.120 eV/atom; N(E_F) = 37.3 states/eV per cell
1.0
6.0027 0.0000 0.0000
0.0000 8.3474 0.0000
0.0000 0.0000 5.7707
Eu Tm O
4 4 12
Cartesian
0.3250 2.0869 0.0978
2.6764 6.2606 2.9832
3.3264 2.0869 2.7875
5.6778 6.2606 5.6728
0.0000 0.0000 2.8853
0.0000 4.1737 2.8853
3.0014 0.0000 0.0000
3.0014 4.1737 0.0000
0.3950 6.2606 2.1105
1.1576 4.7683 4.6741
1.1576 7.7529 4.6741
1.8438 0.5945 1.7887
1.8438 3.5792 1.7887
2.6064 2.0869 4.9959
3.3963 6.2606 0.7748
4.1590 4.7683 3.9819
4.1590 7.7529 3.9819
4.8451 0.5945 1.0966
4.8451 3.5792 1.0966
5.6078 2.0869 3.6602

=====

Entry 7:
GGA-PBE La6PtS5, relaxed; raw formation energy = -1.985 eV/atom; N(E_F) = 6.1 states/eV per cell
1.0
3.6291 -6.2715 0.0000
3.6291 6.2715 0.0000
-2.4186 0.0000 6.8289
La Pt S
6 1 5
Cartesian
-0.0069 2.1122 5.1134
1.1858 0.0000 1.7264
-0.0069 -2.1122 5.1134
4.8464 2.1122 1.7155
3.6537 0.0000 5.1024
4.8464 -2.1122 1.7155
3.6291 0.0000 0.0000
-1.2093 0.0000 3.4144
3.6291 4.1883 0.0000
2.4198 2.1020 3.4144
2.4198 -2.1020 3.4144
3.6291 -4.1883 0.0000

=====

Entry 8:
GGA-PBE LaDyTmS3, relaxed; raw formation energy = -1.837 eV/atom; N(E_F) = 7.7 states/eV per cell
1.0
7.6312 0.0000 0.0000
0.0000 3.9502 0.0000
-2.1738 0.0000 9.7503
La Dy Tm S
2 2 2 6
Cartesian
0.9367 0.9875 2.0090
4.5208 2.9626 7.7414
0.0543 0.9875 6.0639
5.4031 2.9626 3.6864
0.5727 2.9626 8.8454
4.8848 0.9875 0.9049
-1.1838 0.9875 8.6494
0.5028 2.9626 4.2471
3.2283 2.9626 1.7705
2.2291 0.9875 7.9798
4.9546 0.9875 5.5032
6.6413 2.9626 1.1009

=====

Entry 9:
GGA-PBE Tl2CuBr3, relaxed; raw formation energy = -0.656 eV/atom; ΔE to the lowest computed polymorph = 0 meV per atom; N(E_F) = 0.0 states/eV per cell
1.0
9.4935 0.0000 0.0000
0.0000 4.4456 0.0000
0.0000 0.0000 18.4007
Tl Cu Br
8 4 12
Cartesian
1.0095 1.1114 3.8044
2.1587 3.3342 8.3496
2.5880 1.1114 17.5500
3.7372 3.3342 13.0048
5.7563 1.1114 5.3959
6.9055 3.3342 0.8507
7.3348 1.1114 10.0511
8.4840 3.3342 14.5963
1.4910 1.1114 11.7715
3.2557 3.3342 2.5711
6.2377 1.1114 15.8296
8.0025 3.3342 6.6292
0.2528 3.3342 11.1577
1.2840 3.3342 1.1619
1.5162 1.1114 14.2095
3.2305 3.3342 5.0091
3.4628 1.1114 10.3623
4.4939 1.1114 1.9574
4.9996 3.3342 16.4434
6.0307 3.3342 8.0385
6.2630 1.1114 13.3916
7.9773 3.3342 4.1913
8.2095 1.1114 17.2388
9.2407 1.1114 7.2430

=====

Entry 10:
GGA-PBE Bi2BN2, relaxed; raw formation energy = 1.578 eV/atom; ΔE to the lowest computed polymorph = 55 meV per atom; N(E_F) = 6.7 states/eV per cell
1.0
7.0977 0.0000 0.0000
0.0000 7.0977 0.0000
0.0000 0.0000 3.3942
Bi B N
4 2 4
Cartesian
1.2813 2.2676 0.0000
2.2676 5.8164 0.0000
4.8302 1.2813 0.0000
5.8164 4.8302 0.0000
0.0000 0.0000 0.0000
3.5489 3.5489 0.0000
1.2135 4.7623 1.6971
2.3354 1.2135 1.6971
4.7623 5.8843 1.6971
5.8843 2.3354 1.6971

=====

Entry 11:
GGA-PBE KCaCl3, relaxed; raw formation energy = -2.246 eV/atom; N(E_F) = 0.0 states/eV per cell
1.0
7.6435 0.0000 0.0000
0.0000 10.5222 0.0000
0.0000 0.0000 7.3530
K Ca Cl
4 4 12
Cartesian
0.4956 2.6306 0.1518
3.3262 7.8917 3.8282
4.3173 2.6306 3.5247
7.1479 7.8917 7.2012
0.0000 0.0000 3.6765
0.0000 5.2611 3.6765
3.8217 0.0000 0.0000
3.8217 5.2611 0.0000
0.2325 7.8917 2.9318
1.5556 5.8135 5.8803
1.5556 9.9699 5.8803
2.2662 0.5524 2.2038
2.2662 4.7087 2.2038
3.5893 2.6306 6.6082
4.0542 7.8917 0.7447
5.3773 5.8135 5.1492
5.3773 9.9699 5.1492
6.0879 0.5524 1.4727
6.0879 4.7087 1.4727
7.4110 2.6306 4.4212

=====

Entry 12:
GGA-PBE AlZnPt, relaxed; E_form = -0.630 eV/atom; N(E_F) = 1.6 states/eV per cell
1.0
0.0000 2.9751 2.9751
2.9751 0.0000 2.9751
2.9751 2.9751 0.0000
Al Zn Pt
1 1 1
Cartesian
0.0000 0.0000 0.0000
2.9751 2.9751 2.9751
1.4876 1.4876 1.4876

=====

Entry 13:
GGA-PBE Al3Tl2AgF12, relaxed; raw formation energy = -2.917 eV/atom; N(E_F) = 0.0 states/eV per cell
1.0
3.5637 2.0575 6.0573
-3.5637 2.0575 6.0573
0.0000 -4.1150 6.0573
Al Tl Ag F
3 2 1 12
Cartesian
-1.7818 -1.0287 6.0573
-1.7818 1.0287 12.1147
0.0000 2.0575 6.0573
0.0000 0.0000 2.4105
0.0000 0.0000 15.7615
0.0000 0.0000 9.0860
-1.8911 -1.0918 7.8446
0.0000 -1.5278 6.1574
-1.3231 0.7639 6.1574
0.0000 -2.1836 10.3274
-1.8911 1.0918 10.3274
-1.3231 -0.7639 12.0146
1.3231 0.7639 6.1574
1.8911 -1.0918 7.8446
0.0000 2.1836 7.8446
1.3231 -0.7639 12.0146
0.0000 1.5278 12.0146
1.8911 1.0918 10.3275

=====

Entry 14:
GGA-PBE CuReTc2, relaxed; E_form = 0.798 eV/atom; ΔE to the lowest computed polymorph = 654 meV per atom; N(E_F) = 7.5 states/eV per cell
1.0
-3.4962 3.4962 2.6088
3.4962 -3.4962 2.6088
3.4962 3.4962 -2.6088
Cu Re Tc
2 2 4
Cartesian
0.0000 0.0000 0.0000
0.0000 3.4962 1.3044
3.4962 0.0000 1.3044
0.0000 0.0000 2.6088
1.7481 -1.5701 1.9566
1.9261 1.7481 0.6522
1.7481 5.0663 -0.6522
1.5701 1.7481 3.2609

=====

Entry 15:
GGA-PBE ScHgSb2Te, relaxed; raw formation energy = 0.594 eV/atom; ΔE to the lowest computed polymorph = 545 meV per atom; N(E_F) = 4.3 states/eV per cell
1.0
5.4703 0.0000 0.0000
0.0000 5.4703 0.0000
0.0000 0.0000 5.5849
Sc Hg Sb Te
1 1 2 1
Cartesian
0.0000 0.0000 0.0000
2.7351 2.7351 2.7925
0.0000 2.7351 2.7925
2.7351 0.0000 2.7925
2.7351 2.7351 0.0000

=====

Entry 16:
GGA-PBE Na4Pd3PbO8, relaxed; raw formation energy = -0.983 eV/atom
1.0
6.1232 -3.1035 0.0000
6.1232 3.1035 0.0000
-2.8332 0.0000 5.5773
Na Pd Pb O
4 3 1 8
Cartesian
0.0000 0.0000 0.0000
1.6450 1.5518 2.7887
1.6450 -1.5518 2.7887
6.1232 0.0000 0.0000
-1.4166 0.0000 2.7887
3.0616 1.5518 0.0000
3.0616 -1.5518 0.0000
4.7066 0.0000 2.7887
0.1706 0.0000 4.2010
3.7134 1.6356 3.8362
5.6997 1.6356 1.7411
2.8911 0.0000 1.3418
6.5220 0.0000 4.2356
3.7134 -1.6356 3.8362
5.6997 -1.6356 1.7411
9.2425 0.0000 1.3763

=====

Entry 17:
GGA-PBE SrSc2Os2, relaxed; E_form = 0.036 eV/atom; N(E_F) = 5.5 states/eV per cell
1.0
8.0806 0.0000 0.0000
0.0000 8.0806 0.0000
0.0000 0.0000 3.1184
Sr Sc Os
2 4 4
Cartesian
0.0000 0.0000 0.0000
4.0403 4.0403 0.0000
1.1084 2.9319 1.5592
2.9319 6.9722 1.5592
5.1487 1.1084 1.5592
6.9722 5.1487 1.5592
1.2227 5.2630 0.0000
2.8176 1.2227 0.0000
5.2630 6.8579 0.0000
6.8579 2.8176 0.0000

=====

Entry 18:
GGA-PBE Ac2HoPt3O12, relaxed; raw formation energy = -1.615 eV/atom; N(E_F) = 13.9 states/eV per cell
1.0
3.5724 2.0625 5.4795
-3.5724 2.0625 5.4795
0.0000 -4.1251 5.4795
Ac Ho Pt O
2 1 3 12
Cartesian
0.0000 0.0000 1.9175
0.0000 0.0000 14.5209
0.0000 0.0000 8.2192
-1.7862 -1.0313 5.4795
-1.7862 1.0313 10.9590
0.0000 2.0625 5.4795
-2.0586 -1.1886 7.4393
0.0000 -1.6938 6.0773
-1.4669 0.8469 6.0773
0.0000 -2.3771 8.9992
-2.0586 1.1886 8.9992
-1.4669 -0.8469 10.3611
1.4669 0.8469 6.0773
2.0586 -1.1886 7.4393
0.0000 2.3771 7.4393
1.4669 -0.8469 10.3611
0.0000 1.6938 10.3611
2.0586 1.1886 8.9992

=====

Entry 19:
GGA-PBE MgNi2AgBr, relaxed; raw formation energy = 0.801 eV/atom; N(E_F) = 4.5 states/eV per cell
1.0
4.7429 0.0000 0.0000
0.0000 4.7429 0.0000
0.0000 0.0000 5.0876
Mg Ni Ag Br
1 2 1 1
Cartesian
0.0000 0.0000 0.0000
0.0000 2.3714 2.5438
2.3714 0.0000 2.5438
0.0000 0.0000 2.5438
2.3714 2.3714 0.0000

=====

Entry 20:
GGA-PBE LaCrCo2, relaxed; E_form = 0.094 eV/atom; N(E_F) = 6.1 states/eV per cell
1.0
1.9997 1.1546 5.1476
-1.9997 1.1546 5.1476
0.0000 -2.3091 5.1476
La Cr Co
1 1 2
Cartesian
0.0000 0.0000 0.0000
0.0000 0.0000 7.7214
0.0000 0.0000 2.9966
0.0000 0.0000 12.4462